No. 1
Below is a geometry-optimized Nb6Ni16Ge7 structure, with properties calculated at the PBE level.

a = 8.109 Å, b = 8.109 Å, c = 8.109 Å
α = 120.00°, β = 90.00°, γ = 120.00°
Element x y z (fractional)
Ni 0.168 0.665 0.832
Ni 0.851 0.234 0.617
Ni 0.617 0.234 0.383
Nb 0.201 0.000 0.799
Ge 0.500 0.500 0.500
Nb 0.799 0.000 0.201
Ge 0.500 0.000 0.000
Ge 0.000 0.500 0.000
Ni 0.168 0.335 0.503
Ni 0.832 0.335 0.168
Ni 0.832 0.665 0.497
Ge 0.000 0.500 0.500
Ge 0.500 0.500 0.000
Ni 0.497 0.665 0.832
Nb 0.799 0.000 0.799
Nb 0.799 0.598 0.799
Ni 0.168 0.335 0.832
Ni 0.383 0.234 0.617
Ni 0.617 0.766 0.383
Ni 0.503 0.335 0.168
Ni 0.617 0.234 0.851
Nb 0.201 0.000 0.201
Ni 0.383 0.766 0.149
Ge 0.500 0.000 0.500
Ni 0.383 0.766 0.617
Ge 0.000 0.000 0.500
Ni 0.149 0.766 0.383
Ni 0.832 0.665 0.168
Nb 0.201 0.402 0.201

Computed properties:
DFT total energy	-6.66	eV/atom
volume	13.00	Å³ per atom
space group	Fm-3m, No. 225

***

No. 2
Below is a geometry-optimized ScNbNiGe structure, with properties calculated at the PBE level.

a = 4.498 Å, b = 4.498 Å, c = 4.498 Å
α = 60.00°, β = 60.00°, γ = 60.00°
Element x y z (fractional)
Ge 0.000 0.000 0.000
Sc 0.500 0.500 0.500
Nb 0.250 0.250 0.250
Ni 0.750 0.750 0.750

Computed properties:
DFT total energy	-6.66	eV/atom
excess energy over the best structure of this formula in the dataset	0.0000	eV per atom
volume	16.09	Å³ per atom
space group	F-43m, No. 216

***

No. 3
Below is a geometry-optimized Nb2SiNi2Ge structure, with properties calculated at the PBE level.

a = 3.604 Å, b = 3.604 Å, c = 6.544 Å
α = 90.00°, β = 90.00°, γ = 90.00°
Element x y z (fractional)
Ge 0.000 0.000 0.766
Nb 0.500 0.500 0.633
Nb 0.000 0.000 0.354
Ni 0.000 0.500 0.008
Ni 0.500 0.000 0.008
Si 0.500 0.500 0.230

Computed properties:
DFT total energy	-7.47	eV/atom
volume	14.17	Å³ per atom
space group	P4mm, No. 99

***

No. 4
Below is a geometry-optimized YNbNiGe structure, with properties calculated at the PBE level.

a = 4.675 Å, b = 4.675 Å, c = 4.675 Å
α = 60.00°, β = 60.00°, γ = 60.00°
Element x y z (fractional)
Y 0.500 0.500 0.500
Ni 0.750 0.750 0.750
Ge 0.000 0.000 0.000
Nb 0.250 0.250 0.250

Computed properties:
DFT total energy	-6.52	eV/atom
volume	18.06	Å³ per atom
space group	F-43m, No. 216

***

No. 5
Below is a geometry-optimized NbZnNiGe structure, with properties calculated at the PBE level.

a = 4.350 Å, b = 4.350 Å, c = 4.350 Å
α = 60.00°, β = 60.00°, γ = 60.00°
Element x y z (fractional)
Nb 0.250 0.250 0.250
Zn 0.500 0.500 0.500
Ni 0.750 0.750 0.750
Ge 0.000 0.000 0.000

Computed properties:
DFT total energy	-5.38	eV/atom
volume	14.55	Å³ per atom
space group	F-43m, No. 216

***

No. 6
Below is a geometry-optimized NpNbGe structure, with properties calculated at the PBE level.

a = 4.538 Å, b = 4.538 Å, c = 4.538 Å
α = 60.00°, β = 60.00°, γ = 60.00°
Element x y z (fractional)
Nb 0.250 0.250 0.250
Np 0.750 0.750 0.750
Ge 0.000 0.000 0.000

Computed properties:
DFT total energy	-8.83	eV/atom
volume	22.02	Å³ per atom
space group	F-43m, No. 216

***

No. 7
Below is a geometry-optimized Nb2Ge2O5 structure, with properties calculated at the PBE level.

a = 5.993 Å, b = 4.035 Å, c = 4.035 Å
α = 90.00°, β = 90.00°, γ = 90.00°
Last column: magnetic moment on the atom in μB.
Element x y z (fractional)
O 0.769 0.500 0.000  0.00
O 0.231 0.000 0.500  -0.01
O 0.231 0.500 0.000  0.00
O 0.769 0.000 0.500  -0.01
Ge 0.201 0.500 0.500  0.01
Nb 0.500 0.000 0.000  1.59
O 0.500 0.500 0.500  0.06
Nb 0.000 0.000 0.000  -0.06
Ge 0.799 0.500 0.500  0.01

Computed properties:
DFT total energy	-6.81	eV/atom
excess energy over the best structure of this formula in the dataset	0.5598	eV per atom
volume	10.84	Å³ per atom
space group	P4/mmm, No. 123

***

No. 8
Below is a geometry-optimized Nb2GeO6 structure, with properties calculated at the PBE level.

a = 8.776 Å, b = 8.776 Å, c = 5.571 Å
α = 90.76°, β = 90.76°, γ = 32.44°
Element x y z (fractional)
O 0.717 0.845 0.650
O 0.283 0.155 0.350
O 0.992 0.144 0.093
Nb 0.590 0.075 0.323
Ge 0.809 0.191 0.750
O 0.597 0.680 0.935
Ge 0.191 0.809 0.250
O 0.403 0.320 0.065
Nb 0.925 0.410 0.177
O 0.845 0.717 0.150
O 0.680 0.597 0.435
Nb 0.410 0.925 0.677
O 0.856 0.008 0.407
Nb 0.075 0.590 0.823
O 0.008 0.856 0.907
O 0.320 0.403 0.565
O 0.144 0.992 0.593
O 0.155 0.283 0.850

Computed properties:
DFT total energy	-8.29	eV/atom
volume	12.79	Å³ per atom
space group	C2/c, No. 15